# 1
The following is a DFT calculation (PBE-GGA) of Ac12TlCo6 after structural relaxation.

Lattice parameters (Å, degrees): 10.636 10.636 10.636 90.00 90.00 90.00
Space group Im-3 (No. 204)
Inequivalent atoms, fractional coordinates:
Ac (0.000, 0.188, 0.312) x24
Tl (0.000, 0.000, 0.000) x2
Co (0.000, 0.392, 0.500) x12

Calculated values
**ΔE_f**: -0.07 eV per atom
**M_tot**: 0.00 μB per atom



# 2
The following is a DFT calculation (PBE-GGA) of Ac8TlCo4 after structural relaxation.

Lattice parameters (Å, degrees): 14.736 8.564 10.475 90.00 134.48 90.00
Space group C2/m (No. 12)
Inequivalent atoms, fractional coordinates:
Ac (0.065, 0.241, 0.329) x8
Ac (0.181, 0.000, 0.149) x4
Ac (0.190, 0.500, 0.170) x4
Tl (0.000, 0.500, 0.500) x2
Co (0.000, 0.256, 0.000) x4
Co (0.241, 0.500, 0.499) x4

Calculated values
**ΔE_f**: -0.01 eV per atom
**M_tot**: 0.00 μB per atom



# 3
The following is a DFT calculation (PBE-GGA) of Ac3Tl2Co after structural relaxation.

Lattice parameters (Å, degrees): 17.640 5.588 4.026 90.00 90.12 90.00
Space group C2/m (No. 12)
Inequivalent atoms, fractional coordinates:
Ac (0.000, 0.000, 0.000) x2
Ac (0.125, 0.500, 0.501) x4
Tl (0.198, 0.000, 0.999) x4
Co (0.000, 0.500, 0.000) x2

Calculated values
**ΔE_f**: -0.19 eV per atom
**Excess energy over the best structure of this formula in the dataset**: 0 meV per atom
**M_tot**: 0.00 μB per atom



# 4
The following is a DFT calculation (PBE-GGA) of Ac7Tl4Co after structural relaxation.

Lattice parameters (Å, degrees): 17.893 5.586 12.556 90.00 132.73 90.00
Space group C2/m (No. 12)
Inequivalent atoms, fractional coordinates:
Ac (0.000, 0.000, 0.000) x2
Ac (0.041, 0.500, 0.252) x4
Ac (0.150, 0.000, 0.576) x4
Ac (0.234, 0.500, 0.862) x4
Tl (0.084, 0.000, 0.777) x4
Tl (0.217, 0.000, 0.376) x4
Co (0.000, 0.500, 0.000) x2

Calculated values
**ΔE_f**: -0.05 eV per atom
**M_tot**: 0.00 μB per atom



# 5
The following is a DFT calculation (PBE-GGA) of Ac6TlCo2 after structural relaxation.

Lattice parameters (Å, degrees): 10.207 10.865 10.921 90.00 90.00 90.00
Space group Immm (No. 71)
Inequivalent atoms, fractional coordinates:
Ac (0.000, 0.203, 0.228) x8
Ac (0.182, 0.500, 0.173) x8
Ac (0.209, 0.321, 0.500) x8
Tl (0.000, 0.000, 0.000) x2
Tl (0.000, 0.000, 0.500) x2
Co (0.000, 0.345, 0.000) x4
Co (0.000, 0.500, 0.394) x4

Calculated values
**ΔE_f**: -0.08 eV per atom
**Excess energy over the best structure of this formula in the dataset**: 0 meV per atom
**M_tot**: 0.00 μB per atom



# 6
The following is a DFT calculation (PBE-GGA) of Ac2TlCo after structural relaxation.

Lattice parameters (Å, degrees): 4.1282 4.1282 30.7791 90.00 90.00 120.00
Space group R-3m (No. 166, hexagonal axes)
Inequivalent atoms, fractional coordinates:
Ac (0.0000, 0.0000, 0.1153) x6
Tl (0.0000, 0.0000, 0.0000) x3
Co (0.0000, 0.0000, 0.5000) x3

Calculated values
**ΔE_f**: 0.05 eV per atom
**M_tot**: 0.00 μB per atom